No. 1
Below is crystalline EuF2 at its relaxed geometry, with properties calculated at the PBE level.

Properties
size of the total moment	7.0	Bohr magnetons per cell
uncorrected formation energy	-3793	meV/atom

Structure (extended XYZ):
```
3
Lattice="4.148 0.000 0.000 2.074 3.592 0.000 2.074 1.197 3.387" Properties=species:S:1:pos:R:3 pbc="T T T"
F 2.074 1.197 0.847
Eu 0.000 0.000 0.000
F 6.222 3.592 2.540
```

No. 2
Below is crystalline EuF3 at its relaxed geometry, with properties calculated at the PBE level.

Properties
size of the total moment	6.0	Bohr magnetons per cell
uncorrected formation energy	-3383	meV/atom

Structure (extended XYZ):
```
4
Lattice="3.638 0.000 0.000 0.000 4.895 0.000 -1.819 -2.447 3.199" Properties=species:S:1:pos:R:3 pbc="T T T"
F 1.819 -0.635 1.290
Eu 0.000 0.366 0.000
F 0.000 1.813 1.909
F 1.819 1.719 0.000
```

No. 3
Below is crystalline EuF at its relaxed geometry, with properties calculated at the PBE level.

Properties
size of the total moment	7.9	Bohr magnetons per cell
uncorrected formation energy	-2417	meV/atom

Structure (extended XYZ):
```
2
Lattice="-0.190 0.409 -3.831 -1.617 -2.760 -2.157 -3.402 0.630 -1.706" Properties=species:S:1:pos:R:3 pbc="T T T"
F 0.000 0.000 0.000
Eu -2.605 -0.860 -3.847
```

No. 4
Below is crystalline EuF5 at its relaxed geometry, with properties calculated at the PBE level.

Properties
size of the total moment	7.5	Bohr magnetons per cell
uncorrected formation energy	-2066	meV/atom

Structure (extended XYZ):
```
6
Lattice="3.678 0.000 0.000 0.000 4.458 0.000 0.000 -2.229 4.779" Properties=species:S:1:pos:R:3 pbc="T T T"
F 0.000 2.229 1.268
F 1.839 2.229 3.455
F 1.839 0.000 1.324
F 0.000 0.000 3.511
F 1.839 2.229 0.000
Eu 0.000 0.000 0.000
```

Which value of uncorrected formation energy does entry 4 give? -2066 meV/atom

What is the uncorrected formation energy in the third record? -2417 meV/atom

size of the total moment of number 1 (EuF2)? 7.0 Bohr magnetons per cell